{"formula": "Ba2ScGeS5", "functional": "GGA-PBE", "state": "relaxed", "vol_a3_per_atom": 26.3, "crystal_system": "orthorhombic", "space_group": "Cmc2_1, No. 36", "total_energy_ev_per_atom": -5.4988, "cell": [[-2.9647, 2.8381, -1.0103], [-3.3405, -3.9383, 7.5810], [5.8387, 8.6065, 7.0438]], "species": ["Sc", "Sc", "S", "S", "S", "S", "S", "S", "S", "S", "S", "S", "Ge", "Ge", "Ba", "Ba", "Ba", "Ba"], "frac_coords": [[0.2072, 0.4144, 0.0256], [0.7928, 0.5856, 0.5256], [0.9478, 0.8956, 0.5252], [0.5018, 0.0036, 0.7821], [0.2976, 0.5952, 0.6532], [0.0522, 0.1044, 0.0252], [0.4982, 0.9964, 0.2821], [0.6558, 0.3117, 0.5062], [0.3442, 0.6883, 0.0062], [0.6858, 0.3716, 0.8821], [0.3142, 0.6284, 0.3821], [0.7024, 0.4048, 0.1532], [0.4394, 0.8788, 0.4425], [0.5606, 0.1212, 0.9425], [0.1221, 0.2442, 0.6871], [0.8701, 0.7403, 0.8200], [0.8779, 0.7558, 0.1871], [0.1299, 0.2597, 0.3200]]}

{"formula": "V2CoPt6", "functional": "GGA-PBE", "state": "relaxed", "formation_enthalpy_0k_ev_per_atom": -0.418, "vol_a3_per_atom": 14.5, "crystal_system": "orthorhombic", "space_group": "Fmmm, No. 69", "cell": [[0.0000, 5.7763, 5.8337], [1.9378, 0.0000, 5.8337], [1.9378, 5.7763, 0.0000]], "species": ["Co", "V", "V", "Pt", "Pt", "Pt", "Pt", "Pt", "Pt"], "frac_coords": [[0.0000, 0.0000, 0.0000], [0.6558, 0.6558, 0.3442], [0.3442, 0.3442, 0.6558], [0.3409, 0.6591, 0.3409], [0.6795, 0.9842, 0.0158], [0.3205, 0.0158, 0.9842], [0.0158, 0.3205, 0.6795], [0.6591, 0.3409, 0.6591], [0.9842, 0.6795, 0.3205]]}

{"formula": "Pr2Nd5Sm", "functional": "GGA-PBE", "state": "relaxed", "formation_enthalpy_0k_ev_per_atom": 0.013, "vol_a3_per_atom": 35.3, "crystal_system": "orthorhombic", "space_group": "Pbam, No. 55", "cell": [[-1.9331, 0.8491, 4.7636], [6.6270, -1.3151, 2.9237], [3.3580, 14.2885, -1.1842]], "species": ["Nd", "Nd", "Nd", "Nd", "Nd", "Nd", "Nd", "Nd", "Nd", "Nd", "Pr", "Pr", "Pr", "Pr", "Sm", "Sm"], "frac_coords": [[0.0000, 0.5000, 0.5000], [0.0000, 0.9987, 0.7495], [0.5000, 0.7506, 0.1246], [0.5000, 0.2506, 0.3754], [0.0000, 0.4987, 0.7505], [0.5000, 0.2494, 0.8754], [0.0000, 0.0013, 0.2505], [0.0000, 0.0000, 0.0000], [0.0000, 0.5013, 0.2495], [0.5000, 0.7494, 0.6246], [0.5000, 0.7489, 0.8752], [0.5000, 0.7511, 0.3752], [0.5000, 0.2489, 0.6248], [0.5000, 0.2511, 0.1248], [0.0000, 0.0000, 0.5000], [0.0000, 0.5000, 0.0000]]}

{"formula": "BaMnRh", "functional": "GGA-PBE", "state": "relaxed", "formation_enthalpy_0k_ev_per_atom": 0.208, "vol_a3_per_atom": 24.0, "crystal_system": "tetragonal", "space_group": "I4mm, No. 107", "cell": [[6.2970, -0.0066, 0.0068], [5.3102, 3.3827, 0.1017], [0.9868, 0.1923, 3.3852]], "species": ["Mn", "Rh", "Ba"], "frac_coords": [[0.2782, 0.2782, 0.7218], [0.7196, 0.7196, 0.2804], [0.0022, 0.0022, 0.9978]]}

{"formula": "SmZrSc", "functional": "GGA-PBE", "state": "relaxed", "formation_enthalpy_0k_ev_per_atom": 0.092, "vol_a3_per_atom": 26.5, "crystal_system": "trigonal", "space_group": "P3m1, No. 156", "cell": [[3.3472, 0.0000, 0.0000], [-1.6736, 2.8988, 0.0000], [0.0000, 0.0000, 8.1851]], "species": ["Sc", "Zr", "Sm"], "frac_coords": [[0.3333, 0.6667, 0.6481], [0.6667, 0.3333, 0.3426], [0.0000, 0.0000, 0.0093]]}

{"formula": "KZrBe2Fe", "functional": "GGA-PBE", "state": "relaxed", "formation_enthalpy_0k_ev_per_atom": 2.057, "vol_a3_per_atom": 24.5, "crystal_system": "tetragonal", "space_group": "P4/mmm, No. 123", "cell": [[4.7865, 0.0000, 0.0000], [0.0000, 5.3552, 0.0000], [0.0000, 0.0000, 4.7865]], "species": ["K", "Be", "Be", "Fe", "Zr"], "frac_coords": [[0.0000, 0.5000, 0.0000], [0.5000, 0.0000, 0.0000], [0.0000, 0.0000, 0.5000], [0.5000, 0.5000, 0.5000], [0.0000, 0.0000, 0.0000]]}

{"formula": "Sc2AsCl", "functional": "GGA-PBE", "state": "relaxed", "vol_a3_per_atom": 26.2, "crystal_system": "tetragonal", "space_group": "I-42d, No. 122", "total_energy_ev_per_atom": -5.7157, "cell": [[5.8961, 0.0000, 0.0000], [0.0000, 5.8961, 0.0000], [2.9481, 2.9481, 6.0373]], "species": ["As", "As", "Cl", "Cl", "Sc", "Sc", "Sc", "Sc"], "frac_coords": [[0.7500, 0.2500, 0.5000], [0.0000, 0.0000, 0.0000], [0.2500, 0.7500, 0.5000], [0.5000, 0.5000, 0.0000], [0.6257, 0.1250, 0.2500], [0.1243, 0.6250, 0.2500], [0.3750, 0.3743, 0.7500], [0.8750, 0.8757, 0.7500]]}

{"formula": "SrTiAs3", "functional": "GGA-PBE", "state": "relaxed", "formation_enthalpy_0k_ev_per_atom": -0.596, "vol_a3_per_atom": 24.6, "crystal_system": "cubic", "space_group": "Pm-3m, No. 221", "cell": [[-1.5068, -4.1006, -2.3697], [2.5457, -2.7982, 3.2234], [-3.9937, -0.2365, 2.9488]], "species": ["As", "As", "As", "Ti", "Sr"], "frac_coords": [[0.0000, 0.0000, 0.5000], [0.5000, 0.0000, 0.0000], [0.0000, 0.5000, 0.0000], [0.0000, 0.0000, 0.0000], [0.5000, 0.5000, 0.5000]]}

{"formula": "Li2AlAg", "functional": "GGA-PBE", "state": "relaxed", "formation_enthalpy_0k_ev_per_atom": -0.159, "vol_a3_per_atom": 16.2, "crystal_system": "monoclinic", "space_group": "P2/m, No. 10", "cell": [[4.5407, 0.0000, 0.0000], [0.0000, 2.8125, -0.0093], [0.0000, 1.0330, 5.0703]], "species": ["Al", "Li", "Li", "Ag"], "frac_coords": [[0.5000, 0.7500, 0.7500], [0.0000, 0.4744, 0.5024], [0.0000, 0.0256, 0.9976], [0.5000, 0.2500, 0.2500]]}

{"formula": "KBeSe2", "functional": "GGA-PBE", "state": "relaxed", "vol_a3_per_atom": 41.0, "crystal_system": "trigonal", "space_group": "R-3m, No. 166", "total_energy_ev_per_atom": -3.3412, "cell": [[2.9029, 0.0000, 7.4953], [-1.4515, 2.5140, 7.4953], [-1.4515, -2.5140, 7.4953]], "species": ["K", "Be", "Se", "Se"], "frac_coords": [[0.5000, 0.5000, 0.5000], [0.0000, 0.0000, 0.0000], [0.9111, 0.9111, 0.9111], [0.0889, 0.0889, 0.0889]]}

{"formula": "Pr2TcGe6", "functional": "GGA-PBE", "state": "relaxed", "formation_enthalpy_0k_ev_per_atom": -0.426, "vol_a3_per_atom": 20.1, "crystal_system": "monoclinic", "space_group": "C2/m, No. 12", "cell": [[-4.4839, -0.9147, 3.1903], [1.4844, -5.9229, 0.4022], [3.6157, -1.9416, 4.5390]], "species": ["Ge", "Ge", "Ge", "Ge", "Ge", "Ge", "Tc", "Pr", "Pr"], "frac_coords": [[0.6904, 0.1792, 0.1792], [0.3094, 0.3582, 0.8201], [0.6906, 0.6418, 0.1799], [0.3094, 0.8201, 0.3582], [0.6906, 0.1799, 0.6418], [0.3096, 0.8208, 0.8208], [0.0000, 0.0000, 0.0000], [0.8055, 0.6672, 0.6672], [0.1945, 0.3328, 0.3328]]}

{"formula": "NdNi3Pt", "functional": "GGA-PBE", "state": "relaxed", "formation_enthalpy_0k_ev_per_atom": -0.107, "vol_a3_per_atom": 17.3, "crystal_system": "orthorhombic", "space_group": "Cmcm, No. 63", "cell": [[-4.1481, 1.2253, 0.9680], [-3.1094, -6.9087, -4.5795], [2.8158, 3.5097, 7.6239]], "species": ["Nd", "Nd", "Ni", "Ni", "Ni", "Ni", "Ni", "Ni", "Pt", "Pt"], "frac_coords": [[0.2500, 0.4071, 0.5929], [0.7500, 0.5929, 0.4071], [0.7500, 0.9935, 0.5274], [0.0000, 0.0000, 0.0000], [0.2500, 0.5274, 0.9935], [0.2500, 0.0065, 0.4726], [0.7500, 0.4726, 0.0065], [0.5000, 0.0000, 0.0000], [0.7500, 0.8668, 0.1332], [0.2500, 0.1332, 0.8668]]}

{"formula": "TiCrCd2N", "functional": "GGA-PBE", "state": "relaxed", "vol_a3_per_atom": 17.9, "crystal_system": "tetragonal", "space_group": "P4/mmm, No. 123", "total_energy_ev_per_atom": -5.2542, "cell": [[-0.3287, 3.2338, -3.5210], [2.5636, -2.0437, -2.1163], [-3.5978, -2.4914, -1.9523]], "species": ["Cd", "Cd", "Cr", "Ti", "N"], "frac_coords": [[0.5000, 0.0000, 0.0000], [0.0000, 0.0000, 0.5000], [0.5000, 0.5000, 0.5000], [0.0000, 0.5000, 0.0000], [0.0000, 0.0000, 0.0000]]}

{"formula": "TlOsPb2", "functional": "GGA-PBE", "state": "relaxed", "formation_enthalpy_0k_ev_per_atom": 0.874, "vol_a3_per_atom": 24.1, "crystal_system": "cubic", "space_group": "Fm-3m, No. 225", "cell": [[0.0000, 3.6373, 3.6373], [3.6373, 0.0000, 3.6373], [3.6373, 3.6373, 0.0000]], "species": ["Pb", "Pb", "Os", "Tl"], "frac_coords": [[0.7500, 0.7500, 0.7500], [0.2500, 0.2500, 0.2500], [0.0000, 0.0000, 0.0000], [0.5000, 0.5000, 0.5000]]}

{"formula": "KNa2CuF6", "functional": "GGA-PBE", "state": "relaxed", "vol_a3_per_atom": 14.5, "crystal_system": "monoclinic", "space_group": "P2_1/c, No. 14", "total_energy_ev_per_atom": -4.1700, "cell": [[5.6772, 0.0000, 0.0262], [0.0000, 6.1464, 0.0000], [0.0889, 0.0000, 8.3074]], "species": ["F", "F", "F", "F", "F", "F", "F", "F", "F", "F", "F", "F", "K", "K", "Cu", "Cu", "Na", "Na", "Na", "Na"], "frac_coords": [[0.1392, 0.2620, 0.1246], [0.3737, 0.8658, 0.6955], [0.7917, 0.8522, 0.5210], [0.2083, 0.1478, 0.4790], [0.7083, 0.3522, 0.9790], [0.8608, 0.7380, 0.8754], [0.6263, 0.1342, 0.3045], [0.2917, 0.6478, 0.0210], [0.8737, 0.6342, 0.1955], [0.3608, 0.7620, 0.3754], [0.6392, 0.2380, 0.6246], [0.1263, 0.3658, 0.8045], [0.0000, 0.5000, 0.5000], [0.5000, 0.0000, 0.0000], [0.0000, 0.5000, 0.0000], [0.5000, 0.0000, 0.5000], [0.9975, 0.0290, 0.7172], [0.4975, 0.4710, 0.2172], [0.5025, 0.5290, 0.7828], [0.0025, 0.9710, 0.2828]]}

{"formula": "TbPm2Rh3", "functional": "GGA-PBE", "state": "relaxed", "formation_enthalpy_0k_ev_per_atom": -0.738, "vol_a3_per_atom": 21.3, "crystal_system": "trigonal", "space_group": "P-3m1, No. 164", "cell": [[-4.8186, -0.9822, -0.4716], [2.8235, 0.5036, -4.0225], [1.1983, -5.9264, 0.0991]], "species": ["Pm", "Pm", "Rh", "Rh", "Rh", "Tb"], "frac_coords": [[0.6667, 0.3333, 0.3320], [0.3333, 0.6667, 0.6680], [0.3333, 0.6667, 0.1608], [0.0000, 0.0000, 0.5000], [0.6667, 0.3333, 0.8392], [0.0000, 0.0000, 0.0000]]}

{"formula": "Mg2AlCrRu", "functional": "GGA-PBE", "state": "relaxed", "formation_enthalpy_0k_ev_per_atom": 0.660, "vol_a3_per_atom": 22.3, "crystal_system": "tetragonal", "space_group": "P4/mmm, No. 123", "cell": [[4.9794, 0.0000, 0.0000], [0.0000, 4.5003, 0.0000], [0.0000, 0.0000, 4.9794]], "species": ["Ru", "Mg", "Mg", "Cr", "Al"], "frac_coords": [[0.0000, 0.0000, 0.0000], [0.5000, 0.0000, 0.0000], [0.0000, 0.0000, 0.5000], [0.0000, 0.5000, 0.0000], [0.5000, 0.5000, 0.5000]]}

{"formula": "K2Mg2OsO6", "functional": "GGA-PBE", "state": "relaxed", "vol_a3_per_atom": 14.0, "crystal_system": "monoclinic", "space_group": "C2/m, No. 12", "total_energy_ev_per_atom": -6.0003, "cell": [[5.3290, 0.0250, 0.0269], [-2.6121, 4.6449, 0.0269], [-0.9932, -1.7072, 6.1930]], "species": ["Mg", "Mg", "O", "O", "O", "O", "O", "O", "Os", "K", "K"], "frac_coords": [[0.6639, 0.3361, 0.5000], [0.3361, 0.6639, 0.5000], [0.9436, 0.6318, 0.3305], [0.0564, 0.3682, 0.6695], [0.3682, 0.0564, 0.6695], [0.2490, 0.2490, 0.3307], [0.6318, 0.9436, 0.3305], [0.7510, 0.7510, 0.6693], [0.0000, 0.0000, 0.5000], [0.1718, 0.8282, 0.0000], [0.8282, 0.1718, 0.0000]]}

{"formula": "Nb6Ga3N", "functional": "GGA-PBE", "state": "relaxed", "vol_a3_per_atom": 16.6, "crystal_system": "monoclinic", "space_group": "P2_1/c, No. 14", "total_energy_ev_per_atom": -8.0834, "cell": [[-4.7944, 1.8459, -1.9493], [-1.7457, -6.4159, -1.7820], [-4.0683, -1.0419, 7.7369]], "species": ["Ga", "Ga", "Ga", "Ga", "Ga", "Ga", "Nb", "Nb", "Nb", "Nb", "Nb", "Nb", "Nb", "Nb", "Nb", "Nb", "Nb", "Nb", "N", "N"], "frac_coords": [[0.0964, 0.6199, 0.2346], [0.5964, 0.8801, 0.7346], [0.4036, 0.1199, 0.2654], [0.0000, 0.0000, 0.5000], [0.9036, 0.3801, 0.7654], [0.5000, 0.5000, 0.0000], [0.1140, 0.2871, 0.0524], [0.3517, 0.5276, 0.7322], [0.8860, 0.7129, 0.9476], [0.8520, 0.6405, 0.5452], [0.1480, 0.3595, 0.4548], [0.6480, 0.1405, 0.9548], [0.3860, 0.7871, 0.4476], [0.3520, 0.8595, 0.0452], [0.8517, 0.9724, 0.2322], [0.6483, 0.4724, 0.2678], [0.1483, 0.0276, 0.7678], [0.6140, 0.2129, 0.5524], [0.0000, 0.0000, 0.0000], [0.5000, 0.5000, 0.5000]]}

{"formula": "PmHoIn", "functional": "GGA-PBE", "state": "relaxed", "formation_enthalpy_0k_ev_per_atom": -0.346, "vol_a3_per_atom": 29.1, "crystal_system": "hexagonal", "space_group": "P6_3/mmc, No. 194", "cell": [[-2.2762, 4.9452, 0.3836], [0.3626, -2.4665, -4.8547], [-6.0492, -2.8621, 1.0023]], "species": ["Ho", "Ho", "Pm", "Pm", "In", "In"], "frac_coords": [[0.3334, 0.1666, 0.2500], [0.6666, 0.8334, 0.7500], [0.0000, 0.5000, 0.5000], [0.0000, 0.5000, 0.0000], [0.6668, 0.8332, 0.2500], [0.3332, 0.1668, 0.7500]]}